1.
{"formula": "ScCd3Ag4", "functional": "GGA-PBE", "state": "relaxed", "lattice_angstrom": [[-1.579, -3.171, 3.337], [4.594, -0.856, 1.360], [-1.918, 6.856, 2.060]], "species": ["Cd", "Cd", "Cd", "Ag", "Ag", "Ag", "Ag", "Sc"], "fractional_positions": [[0.251, 0.750, 0.501], [0.749, 0.250, 0.499], [0.000, 0.500, 0.000], [0.876, 0.876, 0.751], [0.624, 0.625, 0.249], [0.376, 0.375, 0.751], [0.124, 0.124, 0.249], [0.500, 0.000, 0.000]], "relative_energy_ev_per_atom": 0.0000, "magmom_total_mub_per_fu": 0.00, "sg": "No. 139"}

2.
{"formula": "CdFeMo2", "functional": "GGA-PBE", "state": "relaxed", "lattice_angstrom": [[4.419, 0.000, 0.000], [0.000, 2.673, -0.004], [0.000, 0.930, 5.419]], "species": ["Cd", "Mo", "Mo", "Fe"], "fractional_positions": [[0.000, 0.568, 0.505], [0.500, 0.216, 0.227], [0.000, 0.002, 0.994], [0.500, 0.714, 0.774]], "magmom_total_mub_per_fu": 2.43, "sg": "No. 6"}

Number 1: formation enthalpy at 0 K -1.12 eV/f.u., DOS(E_F) 2.4 states/eV/f.u.. Number 2: formation enthalpy at 0 K 1.45 eV/f.u., DOS(E_F) 2.8 states/eV/f.u..